(1)
PrDy2Bi: relaxed, PBE.

The space group is P4/mmm (No. 123) and the conventional cell measures 4.947, 4.947 and 4.885 Å, with angles of 90.00, 90.00 and 90.00 degrees. Symmetry generates all atoms from Pr at (0.000, 0.000, 0.000), Dy at (0.000, 0.500, 0.500) and Bi at (0.500, 0.500, 0.000).



(2)
PrDy2Bi: relaxed, PBE.

The space group is R-3m (No. 166, hexagonal axes) and the conventional cell measures 3.5809, 3.5809 and 36.3752 Å, with angles of 90.00, 90.00 and 120.00 degrees. Symmetry generates all atoms from Pr at (0.0000, 0.0000, 0.0000), Dy at (0.0000, 0.0000, 0.4134) and Bi at (0.0000, 0.0000, 0.5000).



Quick ranking, most stable first: (1), (2).



(1)
PrDy2Bi: relaxed, PBE.

The space group is P4/mmm (No. 123) and the conventional cell measures 4.062, 4.062 and 7.509 Å, with angles of 90.00, 90.00 and 90.00 degrees. Symmetry generates all atoms from Pr at (0.000, 0.000, 0.000), Dy at (0.500, 0.500, 0.277) and Bi at (0.000, 0.000, 0.500).



(2)
PrDy2Bi: relaxed, PBE.

The space group is R3m (No. 160, hexagonal axes) and the conventional cell measures 4.0699, 4.0699 and 29.0103 Å, with angles of 90.00, 90.00 and 120.00 degrees. Symmetry generates all atoms from Pr at (0.0000, 0.0000, 0.0000), Dy at (0.0000, 0.0000, 0.5685), Dy at (0.0000, 0.0000, 0.7637) and Bi at (0.0000, 0.0000, 0.1658).



Quick ranking, most stable first: (1), (2).



(1)
Dy4BiPt: relaxed, PBE.

The space group is Pnma (No. 62) and the conventional cell measures 8.355, 4.043 and 19.600 Å, with angles of 90.00, 90.00 and 90.00 degrees. Symmetry generates all atoms from Dy at (0.025, 0.250, 0.067), Dy at (0.049, 0.750, 0.214), Dy at (0.131, 0.750, 0.651), Dy at (0.145, 0.750, 0.449), Bi at (0.248, 0.250, 0.314) and Pt at (0.220, 0.250, 0.553).



(2)
Dy4BiPt: relaxed, PBE.

The space group is C2/c (No. 15) and the conventional cell measures 9.072, 13.534 and 6.224 Å, with angles of 90.00, 115.27 and 90.00 degrees. Symmetry generates all atoms from Dy at (0.114, 0.174, 0.073), Dy at (0.222, 0.425, 0.335), Bi at (0.000, 0.375, 0.750) and Pt at (0.000, 0.001, 0.250).



Quick ranking, most stable first: (1), (2).



(1)
DyPuBi2: relaxed, PBE.

The space group is P-3m1 (No. 164) and the conventional cell measures 4.4620, 4.4620 and 7.7756 Å, with angles of 90.00, 90.00 and 120.00 degrees. Symmetry generates all atoms from Dy at (0.0000, 0.0000, 0.0000), Pu at (0.0000, 0.0000, 0.5000) and Bi at (0.3333, 0.6667, 0.7544).



(2)
DyPuBi2: relaxed, PBE.

The space group is R3m (No. 160, hexagonal axes) and the conventional cell measures 4.4974, 4.4974 and 22.7138 Å, with angles of 90.00, 90.00 and 120.00 degrees. Symmetry generates all atoms from Dy at (0.0000, 0.0000, 0.0000), Pu at (0.0000, 0.0000, 0.8294), Bi at (0.0000, 0.0000, 0.2472) and Bi at (0.0000, 0.0000, 0.4155).



Quick ranking, most stable first: (1), (2).



(1)
DyPuBi2: relaxed, PBE.

The space group is Fm-3m (No. 225) and the conventional cell measures 7.772, 7.772 and 7.772 Å, with angles of 90.00, 90.00 and 90.00 degrees. Symmetry generates all atoms from Dy at (0.000, 0.000, 0.000), Pu at (0.000, 0.000, 0.500) and Bi at (0.250, 0.250, 0.250).



(2)
DyPuBi2: relaxed, PBE.

The space group is R-3m (No. 166, hexagonal axes) and the conventional cell measures 4.5096, 4.5096 and 22.0807 Å, with angles of 90.00, 90.00 and 120.00 degrees. Symmetry generates all atoms from Dy at (0.0000, 0.0000, 0.0000), Pu at (0.0000, 0.0000, 0.5000) and Bi at (0.0000, 0.0000, 0.2509).



(3)
DyPuBi2: relaxed, PBE.

The space group is P4/mmm (No. 123) and the conventional cell measures 3.735, 3.735 and 8.351 Å, with angles of 90.00, 90.00 and 90.00 degrees. Symmetry generates all atoms from Dy at (0.000, 0.000, 0.000), Pu at (0.000, 0.000, 0.500) and Bi at (0.500, 0.500, 0.245).



Quick ranking, most stable first: (2), (3), (1).



(1)
Dy2PuBi: relaxed, PBE.

The space group is R-3m (No. 166, hexagonal axes) and the conventional cell measures 3.5460, 3.5460 and 32.8247 Å, with angles of 90.00, 90.00 and 120.00 degrees. Symmetry generates all atoms from Dy at (0.0000, 0.0000, 0.2489), Pu at (0.0000, 0.0000, 0.0000) and Bi at (0.0000, 0.0000, 0.5000).



(2)
Dy2PuBi: relaxed, PBE.

The space group is P4/mmm (No. 123) and the conventional cell measures 4.019, 4.019 and 7.234 Å, with angles of 90.00, 90.00 and 90.00 degrees. Symmetry generates all atoms from Dy at (0.000, 0.000, 0.234), Pu at (0.500, 0.500, 0.500) and Bi at (0.500, 0.500, 0.000).



Quick ranking, most stable first: (2), (1).



(1)
Dy2BiS: relaxed, PBE.

The space group is R-3m (No. 166, hexagonal axes) and the conventional cell measures 4.1551, 4.1551 and 20.8742 Å, with angles of 90.00, 90.00 and 120.00 degrees. Symmetry generates all atoms from Dy at (0.0000, 0.0000, 0.2382), Bi at (0.0000, 0.0000, 0.0000) and S at (0.0000, 0.0000, 0.5000).



(2)
Dy2BiS: relaxed, PBE.

The space group is R3m (No. 160, hexagonal axes) and the conventional cell measures 4.0392, 4.0392 and 22.0431 Å, with angles of 90.00, 90.00 and 120.00 degrees. Symmetry generates all atoms from Dy at (0.0000, 0.0000, 0.0000), Dy at (0.0000, 0.0000, 0.1952), Bi at (0.0000, 0.0000, 0.4305) and S at (0.0000, 0.0000, 0.6000).



Quick ranking, most stable first: (1), (2).



(1)
Dy4Bi2Sb: relaxed, PBE.

The space group is I2_12_12_1 (No. 24) and the conventional cell measures 9.597, 9.597 and 9.701 Å, with angles of 90.00, 90.00 and 90.00 degrees. Symmetry generates all atoms from Dy at (0.064, 0.042, 0.441), Dy at (0.187, 0.310, 0.700), Bi at (0.000, 0.250, 0.205), Bi at (0.250, 0.444, 0.000) and Sb at (0.123, 0.000, 0.750).



(2)
Dy4Bi2Sb: relaxed, PBE.

The space group is I-42d (No. 122) and the conventional cell measures 9.293, 9.293 and 9.374 Å, with angles of 90.00, 90.00 and 90.00 degrees. Symmetry generates all atoms from Dy at (0.072, 0.181, 0.298), Bi at (0.121, 0.250, 0.625) and Sb at (0.000, 0.000, 0.000).



Quick ranking, most stable first: (2), (1).



(1)
Dy5Bi2Sb2: relaxed, PBE.

The space group is Cmce (No. 64) and the conventional cell measures 15.537, 8.172 and 8.236 Å, with angles of 90.00, 90.00 and 90.00 degrees. Symmetry generates all atoms from Dy at (0.000, 0.000, 0.000), Dy at (0.132, 0.158, 0.341), Bi at (0.202, 0.000, 0.000) and Sb at (0.000, 0.144, 0.643).



(2)
Dy5Bi2Sb2: relaxed, PBE.

The space group is C2/m (No. 12) and the conventional cell measures 15.372, 5.279 and 9.322 Å, with angles of 90.00, 125.53 and 90.00 degrees. Symmetry generates all atoms from Dy at (0.000, 0.000, 0.000), Dy at (0.135, 0.000, 0.800), Dy at (0.135, 0.500, 0.311), Bi at (0.116, 0.000, 0.449) and Sb at (0.118, 0.500, 0.964).



Quick ranking, most stable first: (1), (2).



(1)
DyBiSb2: relaxed, PBE.

The space group is P4/mmm (No. 123) and the conventional cell measures 4.137, 4.137 and 6.598 Å, with angles of 90.00, 90.00 and 90.00 degrees. Symmetry generates all atoms from Dy at (0.000, 0.000, 0.000), Bi at (0.000, 0.000, 0.500) and Sb at (0.500, 0.500, 0.230).



(2)
DyBiSb2: relaxed, PBE.

The space group is P4/mmm (No. 123) and the conventional cell measures 5.242, 5.242 and 4.110 Å, with angles of 90.00, 90.00 and 90.00 degrees. Symmetry generates all atoms from Dy at (0.000, 0.000, 0.000), Bi at (0.500, 0.500, 0.000) and Sb at (0.000, 0.500, 0.500).



(3)
DyBiSb2: relaxed, PBE.

The space group is R-3m (No. 166, hexagonal axes) and the conventional cell measures 3.5023, 3.5023 and 33.9828 Å, with angles of 90.00, 90.00 and 120.00 degrees. Symmetry generates all atoms from Dy at (0.0000, 0.0000, 0.0000), Bi at (0.0000, 0.0000, 0.5000) and Sb at (0.0000, 0.0000, 0.4058).



Quick ranking, most stable first: (2), (1), (3).



(1)
DyBiSb: relaxed, PBE.

The space group is P3m1 (No. 156) and the conventional cell measures 5.1305, 5.1305 and 4.1004 Å, with angles of 90.00, 90.00 and 120.00 degrees. Symmetry generates all atoms from Dy at (0.0000, 0.0000, 0.0000), Bi at (0.6667, 0.3333, 0.4984) and Sb at (0.3333, 0.6667, 0.9964).



(2)
DyBiSb: relaxed, PBE.

The space group is Pnma (No. 62) and the conventional cell measures 18.800, 4.302 and 4.301 Å, with angles of 90.00, 90.00 and 90.00 degrees. Symmetry generates all atoms from Dy at (0.129, 0.250, 0.249), Bi at (0.194, 0.750, 0.749) and Sb at (0.000, 0.250, 0.750).



(3)
DyBiSb: relaxed, PBE.

The space group is Amm2 (No. 38) and the conventional cell measures 6.043, 3.321 and 11.227 Å, with angles of 90.00, 90.00 and 90.00 degrees. Symmetry generates all atoms from Dy at (0.000, 0.000, 0.000), Bi at (0.500, 0.000, 0.939) and Sb at (0.000, 0.000, 0.732).



Quick ranking, most stable first: (2), (1), (3).